# 1
{
  "formula": "CoCuTc2",
  "functional": "PBE",
  "state": "optimized geometry",
  "n_ef_per_ev_cell": 3.2,
  "ef_ev_per_atom": 0.18,
  "de_polymorph_kcal_per_mol_atoms": 1.18,
  "total_energy_ha_per_atom": -0.2869,
  "cell": [[2.601, 0.000, 0.000], [0.000, 3.857, 0.000], [-0.006, 0.000, 5.162]],
  "species": ["Co", "Cu", "Tc", "Tc"],
  "frac_coords": [[0.000, 0.000, 0.000], [0.000, 0.000, 0.500], [0.497, 0.500, 0.757], [0.503, 0.500, 0.243]]
}


# 2
{
  "formula": "CoPb2Au",
  "functional": "PBE",
  "state": "optimized geometry",
  "n_ef_per_ev_cell": 4.1,
  "ef_ev_per_atom": 0.42,
  "de_polymorph_kcal_per_mol_atoms": 4.67,
  "total_energy_ha_per_atom": -0.1481,
  "cell": [[-2.198, 2.540, 3.930], [2.198, -2.540, 3.930], [2.198, 2.540, -3.930]],
  "species": ["Co", "Pb", "Pb", "Au"],
  "frac_coords": [[0.000, 0.000, 0.000], [0.233, 0.733, 0.500], [0.767, 0.267, 0.500], [0.500, 0.500, 0.000]]
}


# 3
{
  "formula": "KNi2Pt2",
  "functional": "PBE",
  "state": "optimized geometry",
  "n_ef_per_ev_cell": 11.2,
  "ef_ev_per_atom": 0.10,
  "de_polymorph_kcal_per_mol_atoms": 0.00,
  "total_energy_ha_per_atom": -0.1781,
  "cell": [[7.826, 0.000, 0.000], [0.000, 7.826, 0.000], [0.000, 0.000, 2.668]],
  "species": ["K", "K", "Ni", "Ni", "Ni", "Ni", "Pt", "Pt", "Pt", "Pt"],
  "frac_coords": [[0.000, 0.000, 0.000], [0.500, 0.500, 0.000], [0.116, 0.384, 0.000], [0.384, 0.884, 0.000], [0.616, 0.116, 0.000], [0.884, 0.616, 0.000], [0.175, 0.675, 0.500], [0.325, 0.175, 0.500], [0.675, 0.825, 0.500], [0.825, 0.325, 0.500]]
}


Question: Number 2 is which compound?
Answer: CoPb2Au